Arrangement one

DFT (PBE) results for a relaxed CoRuPb crystal.

The structure in CIF format:
```
data_CoRuPb
_chemical_formula_sum 'Co1 Ru1 Pb1'
_cell_length_a 3.0741
_cell_length_b 3.0741
_cell_length_c 6.3914
_cell_angle_alpha 90.00
_cell_angle_beta 90.00
_cell_angle_gamma 120.00
_symmetry_space_group_name_H-M 'P 3 m 1'
_symmetry_Int_Tables_number 156
loop_
_symmetry_equiv_pos_as_xyz
'x,y,z'
'-y,x-y,z'
'-x+y,-x,z'
'-y,-x,z'
'-x+y,y,z'
'x,x-y,z'
loop_
_atom_site_label
_atom_site_type_symbol
_atom_site_fract_x
_atom_site_fract_y
_atom_site_fract_z
Co1 Co 0.0000 0.0000 0.0000
Ru1 Ru 0.3333 0.6667 0.7238
Pb1 Pb 0.6667 0.3333 0.3572
```

***

Arrangement two

DFT (PBE) results for a relaxed CoRuPb crystal.

The structure in CIF format:
```
data_CoRuPb
_chemical_formula_sum 'Co1 Ru1 Pb1'
_cell_length_a 4.2566
_cell_length_b 4.2566
_cell_length_c 3.2060
_cell_angle_alpha 90.00
_cell_angle_beta 90.00
_cell_angle_gamma 120.00
_symmetry_space_group_name_H-M 'P 3 m 1'
_symmetry_Int_Tables_number 156
loop_
_symmetry_equiv_pos_as_xyz
'x,y,z'
'-y,x-y,z'
'-x+y,-x,z'
'-y,-x,z'
'-x+y,y,z'
'x,x-y,z'
loop_
_atom_site_label
_atom_site_type_symbol
_atom_site_fract_x
_atom_site_fract_y
_atom_site_fract_z
Co1 Co 0.0000 0.0000 0.0000
Ru1 Ru 0.3333 0.6667 0.7912
Pb1 Pb 0.6667 0.3333 0.3527
```

***

Arrangement three

DFT (PBE) results for a relaxed CoRuPb crystal.

The structure in CIF format:
```
data_CoRuPb
_chemical_formula_sum 'Co2 Ru2 Pb2'
_cell_length_a 3.082
_cell_length_b 3.587
_cell_length_c 9.074
_cell_angle_alpha 90.00
_cell_angle_beta 90.00
_cell_angle_gamma 90.00
_symmetry_space_group_name_H-M 'I m m 2'
_symmetry_Int_Tables_number 44
loop_
_symmetry_equiv_pos_as_xyz
'x,y,z'
'-x,-y,z'
'-x,y,z'
'x,-y,z'
'x+1/2,y+1/2,z+1/2'
'-x+1/2,-y+1/2,z+1/2'
'-x+1/2,y+1/2,z+1/2'
'x+1/2,-y+1/2,z+1/2'
loop_
_atom_site_label
_atom_site_type_symbol
_atom_site_fract_x
_atom_site_fract_y
_atom_site_fract_z
Co1 Co 0.000 0.000 0.000
Ru1 Ru 0.000 0.000 0.372
Pb1 Pb 0.000 0.000 0.684
```

***

Arrangement four

DFT (PBE) results for a relaxed CoRuPb crystal.

The structure in CIF format:
```
data_CoRuPb
_chemical_formula_sum 'Co4 Ru4 Pb4'
_cell_length_a 5.992
_cell_length_b 5.992
_cell_length_c 5.992
_cell_angle_alpha 90.00
_cell_angle_beta 90.00
_cell_angle_gamma 90.00
_symmetry_space_group_name_H-M 'F -4 3 m'
_symmetry_Int_Tables_number 216
_symmetry_space_group_name_Hall 'F -4 2 3'
loop_
_atom_site_label
_atom_site_type_symbol
_atom_site_fract_x
_atom_site_fract_y
_atom_site_fract_z
Co1 Co 0.000 0.000 0.000
Ru1 Ru 0.250 0.250 0.250
Pb1 Pb 0.250 0.250 0.750
```

***

What is the most stable structure shown above? It is arrangement four.